Rb2P3Pd5, relaxed, DFT PBE-GGA; crystal system = orthorhombic; total energy = -95.758 eV per cell; formation energy = -375 meV per atom
1.0
5.712 -0.828 -1.217
-1.692 9.522 -0.124
-0.755 1.902 9.453
Rb P Pd
4 6 10
Cartesian
3.839 5.554 -0.054
1.472 1.999 5.544
-0.574 5.042 8.166
1.793 8.598 2.568
2.087 5.812 5.847
-0.939 7.608 4.718
1.178 4.785 2.265
4.204 2.989 3.394
0.673 1.698 9.145
2.592 8.899 -1.033
3.212 1.222 -0.056
0.442 0.944 1.422
0.053 9.375 8.168
2.823 9.653 6.690
3.750 7.327 5.465
-0.485 3.270 2.647
3.061 5.091 3.753
0.204 5.506 4.360
2.372 2.854 2.041
0.893 7.743 6.071

***

RbPPd, relaxed, DFT PBE-GGA; crystal system = triclinic; total energy = -25.820 eV per cell; formation energy = -447 meV per atom
1.0
-2.616 0.573 -3.360
-2.086 -5.503 3.438
-4.820 -0.179 6.408
Rb P Pd
2 2 2
Cartesian
-1.432 -2.250 1.391
-4.390 -1.093 3.900
-4.656 -3.795 0.898
-5.867 -4.479 4.471
-3.985 -4.510 3.000
-3.923 -4.338 5.729

***

RbP2Pd3, relaxed, DFT PBE-GGA; crystal system = orthorhombic; total energy = -59.777 eV per cell; formation energy = -420 meV per atom
1.0
5.583 0.000 0.000
0.000 5.926 -3.153
0.000 -0.740 7.418
Rb P Pd
2 4 6
Cartesian
1.396 -0.461 4.619
4.187 5.647 -0.355
2.793 1.984 0.199
5.582 1.984 0.199
0.001 3.202 4.066
2.790 3.202 4.066
4.187 2.879 1.940
4.187 1.982 5.596
1.396 2.307 2.325
4.187 5.228 3.832
1.396 -0.042 0.433
1.396 3.204 -1.331

***

Rb3PPd, relaxed, DFT PBE-GGA; crystal system = cubic; total energy = -11.538 eV per cell; formation energy = 394 meV per atom
1.0
6.447 0.000 0.000
0.000 6.447 0.000
0.000 0.000 6.447
P Rb Pd
1 3 1
Cartesian
0.000 0.000 0.000
0.000 3.224 0.000
0.000 0.000 3.224
3.224 0.000 0.000
3.224 3.224 3.224

***

Rb6P2Pd, relaxed, DFT PBE-GGA; crystal system = trigonal; total energy = -23.173 eV per cell; formation energy = -151 meV per atom
1.0
6.027 0.000 0.000
3.014 5.220 0.000
3.014 1.740 10.504
Rb P Pd
6 2 1
Cartesian
6.027 3.480 2.642
9.041 5.220 5.849
9.041 5.220 9.479
3.014 1.740 4.656
6.027 3.480 7.862
3.014 1.740 1.025
9.041 5.220 2.429
3.014 1.740 8.075
0.000 0.000 0.000

***

Rb2PPd2, relaxed, DFT PBE-GGA; crystal system = tetragonal; total energy = -36.632 eV per cell; formation energy = -117 meV per atom
1.0
-2.584 -1.773 5.706
2.414 -5.996 -0.770
4.806 1.592 2.671
P Rb Pd
2 4 4
Cartesian
0.000 0.000 0.000
-0.085 -3.884 2.468
3.580 -3.582 1.827
2.637 -5.336 4.569
1.057 -2.595 5.779
1.999 -0.841 3.038
1.150 -5.595 1.265
-0.549 -5.471 4.248
-1.320 -2.174 3.671
0.379 -2.298 0.688

***

Rb2P2Pd3, relaxed, DFT PBE-GGA; crystal system = monoclinic; total energy = -62.471 eV per cell; formation energy = -415 meV per atom
1.0
6.710 -0.854 0.000
-3.276 7.840 0.000
0.000 0.000 6.903
Rb P Pd
4 4 6
Cartesian
1.871 6.625 4.182
0.154 3.132 6.173
3.280 3.853 0.730
1.563 0.360 2.721
-0.131 4.580 2.494
-1.429 6.753 5.946
4.863 0.233 0.957
3.564 2.406 4.409
1.717 3.493 3.452
0.000 0.000 0.000
0.063 6.279 0.840
-1.623 5.054 4.292
5.056 1.932 2.612
3.370 0.707 6.063

***

RbPPd, relaxed, DFT PBE-GGA; crystal system = tetragonal; total energy = -12.333 eV per cell; formation energy = -254 meV per atom
1.0
-2.572 -0.549 2.159
2.174 -1.336 2.250
1.064 6.444 0.225
P Pd Rb
1 1 1
Cartesian
0.183 1.485 3.276
0.476 3.027 1.337
0.007 0.047 0.021

***

Rb3P3Pd5, relaxed, DFT PBE-GGA; crystal system = hexagonal; total energy = -49.666 eV per cell; formation energy = -415 meV per atom
1.0
6.418 0.000 0.000
0.000 6.292 -3.633
0.000 0.000 7.265
Rb P Pd
3 3 5
Cartesian
0.000 4.228 -2.441
0.000 0.000 4.882
0.000 2.064 1.192
3.209 3.977 -2.296
3.209 2.315 1.336
3.209 0.000 4.593
3.209 4.195 0.000
3.209 2.097 3.633
3.209 1.550 -0.895
3.209 4.742 2.738
3.209 0.000 1.789

***

Rb2PPd2, relaxed, DFT PBE-GGA; crystal system = monoclinic; total energy = -37.565 eV per cell; formation energy = -210 meV per atom
1.0
-3.534 3.827 3.856
-1.222 -7.825 1.200
5.681 1.991 3.231
Rb P Pd
4 2 4
Cartesian
-3.594 -2.446 3.985
2.065 -0.975 2.265
4.519 0.439 4.301
-1.139 -1.033 6.022
2.067 3.869 4.817
0.080 1.949 2.270
1.110 1.790 4.373
2.860 -3.023 5.307
-0.185 -3.797 3.914
-1.935 1.016 2.980

***

RbPPdRh, relaxed, DFT PBE-GGA; crystal system = tetragonal; total energy = -40.835 eV per cell; formation energy = -374 meV per atom
1.0
3.879 0.000 0.000
0.000 3.879 0.000
0.000 0.000 12.694
Rb P Pd Rh
2 2 2 2
Cartesian
2.909 2.909 3.510
0.970 0.970 9.184
2.909 2.909 11.393
0.970 0.970 1.301
0.970 2.909 6.347
2.909 0.970 6.347
2.909 0.970 0.000
0.970 2.909 0.000

***

RbPPdRu, relaxed, DFT PBE-GGA; crystal system = tetragonal; total energy = -43.891 eV per cell; formation energy = -275 meV per atom
1.0
3.953 0.000 0.000
0.000 3.953 0.000
0.000 0.000 12.567
Rb P Pd Ru
2 2 2 2
Cartesian
2.965 2.965 3.429
0.988 0.988 9.138
2.965 2.965 11.374
0.988 0.988 1.193
0.988 2.965 6.283
2.965 0.988 6.283
2.965 0.988 0.000
0.988 2.965 0.000

***

RbPPdS4, relaxed, DFT PBE-GGA; crystal system = orthorhombic; total energy = -60.993 eV per cell; uncorrected formation energy = -345.2 meV/atom
1.0
7.613 0.177 0.000
-2.896 7.043 0.000
0.000 0.000 7.306
Rb P Pd S
2 2 2 8
Cartesian
2.359 3.610 3.653
2.359 3.610 0.000
-1.387 6.057 1.826
6.104 1.163 5.479
6.380 0.983 1.826
-1.663 6.237 5.479
0.511 1.440 5.479
3.604 6.173 5.479
5.148 1.788 7.179
5.148 1.788 3.780
-0.431 5.433 0.127
-0.431 5.433 3.526
4.206 5.780 1.826
1.114 1.047 1.826

***

Rb2PPdS4, relaxed, DFT PBE-GGA; crystal system = orthorhombic; total energy = -68.094 eV per cell; uncorrected formation energy = -624.9 meV/atom
1.0
-3.201 3.597 -4.124
2.293 -0.216 -6.841
-8.701 -6.933 -4.167
Rb P Pd S
4 2 2 8
Cartesian
-6.195 -3.852 -3.424
-5.706 0.516 -4.867
-8.110 -3.958 -9.339
-3.098 2.204 -7.854
-4.004 -2.675 -6.535
-1.600 1.798 -2.062
-5.604 -0.877 -8.597
0.000 0.000 0.000
-0.063 0.394 -7.398
-8.261 -5.389 -6.079
-8.685 -3.420 -12.815
-2.207 1.311 -3.971
-3.248 -1.487 -8.040
-6.044 -2.421 -6.684
-6.527 -1.009 -10.913
-3.397 -2.188 -4.626

***

RbP2PdS8, relaxed, DFT PBE-GGA; crystal system = trigonal; total energy = -52.736 eV per cell; uncorrected formation energy = -228.0 meV/atom
1.0
-2.722 -1.193 4.983
4.747 -2.980 -1.498
5.765 6.783 4.772
Rb P Pd S
1 2 1 8
Cartesian
0.000 0.000 0.000
1.470 0.214 4.231
6.321 2.396 4.026
2.882 3.391 2.386
7.462 3.739 4.970
2.755 0.997 2.783
4.904 -1.337 3.505
0.329 -1.129 3.287
2.887 3.946 4.752
5.035 1.613 5.474
2.586 2.257 7.516
5.204 0.352 0.741

***

RbSbP2Pd4, relaxed, DFT PBE-GGA; crystal system = tetragonal; total energy = -40.047 eV per cell; uncorrected formation energy = -420.8 meV/atom
1.0
4.130 0.000 0.000
0.000 4.130 0.000
0.000 0.000 10.293
Rb Sb P Pd
1 1 2 4
Cartesian
0.000 0.000 5.146
0.000 0.000 0.000
2.065 2.065 3.000
2.065 2.065 7.293
0.000 2.065 1.837
2.065 0.000 8.456
2.065 0.000 1.837
0.000 2.065 8.456

***

RbSmP2Pd4, relaxed, DFT PBE-GGA; crystal system = tetragonal; total energy = -41.866 eV per cell; formation energy = -573 meV per atom
1.0
-0.392 0.925 -4.041
-1.664 -3.753 -0.698
-9.808 4.000 1.867
Rb Sm P Pd
1 1 2 4
Cartesian
-4.904 2.000 0.934
0.000 0.000 0.000
-3.939 -0.227 -1.815
-7.924 1.398 -1.057
-2.767 -1.087 0.020
-8.069 3.673 -0.522
-2.131 1.252 -1.652
-8.704 1.334 1.150

***

RbSrP2Pd, relaxed, DFT PBE-GGA; crystal system = tetragonal; total energy = -13.735 eV per cell; formation energy = 985 meV per atom
1.0
5.510 0.000 0.000
0.000 6.279 0.000
0.000 0.000 5.510
Sr Rb Pd P
1 1 1 2
Cartesian
0.000 0.000 0.000
0.000 3.139 0.000
2.755 3.139 2.755
0.000 0.000 2.755
2.755 0.000 0.000

***

Rb2TcPPd, relaxed, DFT PBE-GGA; crystal system = tetragonal; total energy = -18.416 eV per cell; formation energy = 898 meV per atom
1.0
-2.588 5.517 2.744
-3.975 0.780 -5.316
-3.091 -2.423 1.956
P Rb Tc Pd
1 2 1 1
Cartesian
0.000 0.000 0.000
-1.987 0.390 -2.658
-1.294 2.758 1.372
-4.827 1.936 -0.308
-1.546 -1.212 0.978

***

ReP3Pd, relaxed, DFT PBE-GGA; crystal system = cubic; total energy = -30.309 eV per cell; formation energy = 712 meV per atom
1.0
-3.250 -3.230 0.478
2.079 -2.567 -3.211
2.518 -2.050 3.268
Re Pd P
1 1 3
Cartesian
0.000 0.000 0.000
0.674 -3.923 0.268
1.039 -1.283 -1.606
1.259 -1.025 1.634
-1.625 -1.615 0.239